DFT (GGA+U) results for a relaxed structure of TlCo2NiF8.

The structure in POSCAR format:
```
TlCo2NiF8
1.0
2.648 1.529 7.577
-2.648 1.529 7.577
0.000 -3.057 7.577
Tl Co Ni F
1 2 1 8
direct
0.000 0.000 0.000
0.238 0.238 0.238
0.762 0.762 0.762
0.500 0.500 0.500
0.136 0.765 0.447
0.235 0.553 0.864
0.319 0.319 0.319
0.447 0.136 0.765
0.553 0.864 0.235
0.681 0.681 0.681
0.765 0.447 0.136
0.864 0.235 0.553
```

Summary:
N(E_F)   1.120 states/eV per atom
Theoretical density   4.8 g cm⁻³
Electronic total energy   -53.19 eV/cell